The following is a DFT calculation (PBE) of a geometry-optimized La12PrY6 structure.

Properties
Energy of formation   0.02 eV per atom
Fermi-level density of states   1.717 states/eV/atom
Calculated total energy   -102.31 eV per formula unit

Unit cell a=9.7532 b=9.7532 c=9.7532 alpha=110.93 beta=110.93 gamma=110.93
Fractional positions:
La 0.0254 0.2887 0.1831
La 0.1831 0.0254 0.2887
La 0.2348 0.6040 0.6588
La 0.2887 0.1831 0.0254
La 0.3412 0.7652 0.3960
La 0.3960 0.3412 0.7652
La 0.6040 0.6588 0.2348
La 0.6588 0.2348 0.6040
La 0.7113 0.8169 0.9746
La 0.7652 0.3960 0.3412
La 0.8169 0.9746 0.7113
La 0.9746 0.7113 0.8169
Pr 0.5000 0.5000 0.5000
Y 0.0796 0.8680 0.5504
Y 0.1320 0.4496 0.9204
Y 0.4496 0.9204 0.1320
Y 0.5504 0.0796 0.8680
Y 0.8680 0.5504 0.0796
Y 0.9204 0.1320 0.4496